[1]
A plane-wave DFT calculation with PBE-GGA was carried out for a relaxed HPb2F crystal.

* D(E_F): 0.591 states/eV per atom
* total magnetization: 0.000 μB/f.u.
* polymorph energy (0 for the lowest one): 121 meV/atom

Cell: 4.732 4.732 4.732 Å, 60.00 60.00 60.00°
Sites, in units of the cell vectors:
1 H 0.000 0.000 0.000
2 Pb 0.250 0.250 0.250
3 Pb 0.750 0.750 0.750
4 F 0.500 0.500 0.500


[2]
A plane-wave DFT calculation with PBE-GGA was carried out for a relaxed H2Pb2F7 crystal.

* D(E_F): 0.297 states/eV per atom
* total magnetization: 0.000 μB/f.u.
* final energy: -0.1588 Ha/atom

Cell: 5.740 5.740 4.499 Å, 95.03 95.03 81.22°
Sites, in units of the cell vectors:
1 H 0.224 0.224 0.237
2 H 0.776 0.776 0.763
3 Pb 0.252 0.748 0.500
4 Pb 0.748 0.252 0.500
5 F 0.074 0.380 0.261
6 F 0.084 0.084 0.749
7 F 0.380 0.074 0.261
8 F 0.500 0.500 0.000
9 F 0.620 0.926 0.739
10 F 0.916 0.916 0.251
11 F 0.926 0.620 0.739


[3]
A plane-wave DFT calculation with PBE-GGA was carried out for a relaxed H2Pb5F12 crystal.

* D(E_F): 0.000 states/eV per atom
* total magnetization: 0.000 μB/f.u.
* final energy: -0.1724 Ha/atom

Cell: 6.118 7.745 8.040 Å, 71.43 87.11 67.43°
Sites, in units of the cell vectors:
1 H 0.230 0.021 0.032
2 H 0.770 0.979 0.968
3 Pb 0.000 0.000 0.500
4 Pb 0.317 0.344 0.154
5 Pb 0.395 0.313 0.684
6 Pb 0.605 0.687 0.316
7 Pb 0.683 0.656 0.846
8 F 0.090 0.456 0.861
9 F 0.209 0.221 0.471
10 F 0.220 0.008 0.206
11 F 0.265 0.033 0.903
12 F 0.349 0.677 0.572
13 F 0.393 0.630 0.105
14 F 0.607 0.370 0.895
15 F 0.651 0.323 0.428
16 F 0.735 0.967 0.097
17 F 0.780 0.992 0.794
18 F 0.791 0.779 0.529
19 F 0.910 0.544 0.139


[4]
A plane-wave DFT calculation with PBE-GGA was carried out for a relaxed HPbF2 crystal.

* D(E_F): 0.212 states/eV per atom
* total magnetization: 0.000 μB/f.u.
* polymorph energy (0 for the lowest one): 590 meV/atom

Cell: 5.279 5.279 5.279 Å, 123.88 123.88 83.39°
Sites, in units of the cell vectors:
1 H 0.375 0.625 0.750
2 H 0.625 0.375 0.250
3 Pb 0.125 0.875 0.250
4 Pb 0.875 0.125 0.750
5 F 0.000 0.500 0.500
6 F 0.500 0.000 0.000
7 F 0.500 0.500 0.000
8 F 0.500 0.500 0.500


[5]
A plane-wave DFT calculation with PBE-GGA was carried out for a relaxed HPb2F4 crystal.

* D(E_F): 0.273 states/eV per atom
* total magnetization: 0.429 μB/f.u.
* final energy: -0.1626 Ha/atom

Cell: 7.003 4.873 7.700 Å, 90.00 114.83 90.00°
Sites, in units of the cell vectors:
1 H 0.143 0.250 0.394
2 H 0.857 0.750 0.606
3 Pb 0.183 0.750 0.960
4 Pb 0.405 0.750 0.647
5 Pb 0.595 0.250 0.353
6 Pb 0.817 0.250 0.040
7 F 0.133 0.017 0.379
8 F 0.133 0.483 0.379
9 F 0.272 0.250 0.039
10 F 0.494 0.750 0.245
11 F 0.506 0.250 0.755
12 F 0.728 0.750 0.961
13 F 0.867 0.517 0.621
14 F 0.867 0.983 0.621


[6]
A plane-wave DFT calculation with PBE-GGA was carried out for a relaxed HPbF2 crystal.

* D(E_F): 0.095 states/eV per atom
* total magnetization: 0.000 μB/f.u.
* polymorph energy (0 for the lowest one): 0 meV/atom

Cell: 6.593 6.593 6.593 Å, 29.81 29.81 29.81°
Sites, in units of the cell vectors:
1 H 0.000 0.000 0.000
2 Pb 0.500 0.500 0.500
3 F 0.061 0.061 0.061
4 F 0.939 0.939 0.939